[1]
Below is a relaxed EuYAl crystal, with properties calculated at the PBE level.

Results
Formation enthalpy at 0 K   -73 meV/atom
Space group   P3m1 (156)
Total moment   7.08 μB/f.u.
Final energy   -6.90 eV per atom
Mass density   5315 kg/m³

Cell lengths 3.5326, 5.2301, 5.2301 Å; angles 120.00, 90.00, 90.00 degrees
Fractional positions:
Y 0.3816 0.3333 0.6667
Eu 0.9765 0.0000 0.0000
Al 0.6419 0.6667 0.3333


[2]
Below is a relaxed EuYAl2 crystal, with properties calculated at the PBE level.

Results
Formation enthalpy at 0 K   -326 meV/atom
Space group   P4/mmm (123)
Total moment   7.12 μB/f.u.
Final energy   -6.38 eV per atom
Mass density   4858 kg/m³

Cell lengths 3.6960, 3.6960, 7.3777 Å; angles 90.00, 90.00, 90.00 degrees
Fractional positions:
Al 0.0000 0.0000 0.7292
Al 0.0000 0.0000 0.2708
Y 0.5000 0.5000 0.5000
Eu 0.5000 0.5000 0.0000


[3]
Below is a relaxed EuYAl2 crystal, with properties calculated at the PBE level.

Results
Formation enthalpy at 0 K   -296 meV/atom
Space group   Fm-3m (225)
Total moment   6.92 μB/f.u.
Final energy   -6.35 eV per atom
Mass density   4899 kg/m³

Cell lengths 5.2089, 5.2089, 5.2089 Å; angles 60.00, 60.00, 60.00 degrees
Fractional positions:
Eu 0.0000 0.0000 0.0000
Al 0.2500 0.2500 0.2500
Al 0.7500 0.7500 0.7500
Y 0.5000 0.5000 0.5000


[4]
Below is a relaxed EuYAl crystal, with properties calculated at the PBE level.

Results
Formation enthalpy at 0 K   511 meV/atom
Space group   I4mm (107)
Total moment   7.48 μB/f.u.
Final energy   -6.32 eV per atom
Mass density   4548 kg/m³

Cell lengths 3.2714, 3.2714, 9.4263 Å; angles 99.99, 99.99, 90.00 degrees
Fractional positions:
Al 0.9527 0.9527 0.9055
Y 0.1193 0.1193 0.2386
Eu 0.7780 0.7780 0.5559


[5]
Below is a relaxed EuYAlZn crystal, with properties calculated at the PBE level.

Results
Formation enthalpy at 0 K   -289 meV/atom
Space group   F-43m (216)
Total moment   7.34 μB/f.u.
Final energy   -5.73 eV per atom
Mass density   5529 kg/m³

Cell lengths 5.2115, 5.2115, 5.2115 Å; angles 60.00, 60.00, 60.00 degrees
Fractional positions:
Zn 0.5000 0.5000 0.5000
Al 0.0000 0.0000 0.0000
Y 0.7500 0.7500 0.7500
Eu 0.2500 0.2500 0.2500


[6]
Below is a relaxed EuAlZn4 crystal, with properties calculated at the PBE level.

Results
Formation enthalpy at 0 K   -83 meV/atom
Space group   F-43m (216)
Total moment   6.87 μB/f.u.
Final energy   -3.27 eV per atom
Mass density   6467 kg/m³

Cell lengths 5.4288, 5.4288, 5.4288 Å; angles 60.00, 60.00, 60.00 degrees
Fractional positions:
Zn 0.6252 0.6252 0.1244
Zn 0.1244 0.6252 0.6252
Zn 0.6252 0.1244 0.6252
Zn 0.6252 0.6252 0.6252
Al 0.2500 0.2500 0.2500
Eu 0.0000 0.0000 0.0000


[7]
Below is a relaxed EuAl4Zn crystal, with properties calculated at the PBE level.

Results
Formation enthalpy at 0 K   -73 meV/atom
Space group   F-43m (216)
Total moment   7.31 μB/f.u.
Final energy   -4.49 eV per atom
Mass density   4445 kg/m³

Cell lengths 5.5599, 5.5599, 5.5599 Å; angles 60.00, 60.00, 60.00 degrees
Fractional positions:
Al 0.1240 0.6253 0.6253
Al 0.6253 0.6253 0.6253
Al 0.6253 0.6253 0.1240
Al 0.6253 0.1240 0.6253
Zn 0.2500 0.2500 0.2500
Eu 0.0000 0.0000 0.0000


[8]
Below is a relaxed EuZrAl2 crystal, with properties calculated at the PBE level.

Results
Formation enthalpy at 0 K   -286 meV/atom
Space group   P4/mmm (123)
Total moment   7.07 μB/f.u.
Final energy   -6.86 eV per atom
Mass density   5574 kg/m³

Cell lengths 3.1873, 3.1873, 8.7142 Å; angles 90.00, 90.00, 90.00 degrees
Fractional positions:
Eu 0.5000 0.5000 0.5000
Al 0.0000 0.0000 0.7736
Al 0.0000 0.0000 0.2264
Zr 0.5000 0.5000 0.0000


[9]
Below is a relaxed AlF4 crystal, with properties calculated at the PBE level.

Results
Space group   Pm-3m (221)
Total moment   1.00 μB/f.u.
Final energy   -4.79 eV per atom
Mass density   3415 kg/m³
Uncorrected formation energy   -2546 meV/atom

Cell lengths 3.6858, 3.6858, 3.6858 Å; angles 90.00, 90.00, 90.00 degrees
Fractional positions:
F 0.0000 0.0000 0.0000
F 0.0000 0.5000 0.5000
F 0.5000 0.5000 0.0000
F 0.5000 0.0000 0.5000
Al 0.5000 0.5000 0.5000


[10]
Below is a relaxed AlF4 crystal, with properties calculated at the PBE level.

Results
Space group   C2/m (12)
Total moment   0.06 μB/f.u.
Final energy   -5.00 eV per atom
Mass density   2479 kg/m³
Uncorrected formation energy   -2753 meV/atom

Cell lengths 4.9444, 4.9444, 6.6013 Å; angles 94.64, 94.64, 119.96 degrees
Fractional positions:
F 0.4672 0.8469 0.8476
F 0.5328 0.1531 0.1524
F 0.6344 0.6344 0.4744
F 0.9116 0.9116 0.1520
F 0.1531 0.5328 0.1524
F 0.0884 0.0884 0.8480
F 0.3656 0.3656 0.5256
F 0.8469 0.4672 0.8476
Al 0.1670 0.8330 0.0000
Al 0.8330 0.1670 0.0000